Entry from Alexandria: an optimized crystal structure of CeNd5Bi6 (GGA-PBE).

```
CeNd5Bi6
1.0
-5.486 -4.452 3.716
2.941 -7.300 1.311
3.921 -1.564 6.773
Ce Nd Bi
1 5 6
Direct
0.000 0.000 0.000
0.500 0.167 0.665
0.000 0.334 0.333
0.500 0.500 0.000
0.000 0.666 0.667
0.500 0.833 0.335
0.751 0.083 0.331
0.249 0.586 0.331
0.249 0.248 0.000
0.751 0.752 0.000
0.751 0.414 0.669
0.249 0.917 0.669
```

Summary:
As for the uncorrected energy: -5.349 eV per atom. As for the space group: C2/m. As for the density of states at the Fermi level: 6.86 states/eV/cell.


Entry from Alexandria: an optimized crystal structure of Ce3NdBi4 (GGA-PBE).

```
Ce3NdBi4
1.0
4.606 0.000 0.000
0.000 7.971 -0.076
0.000 -2.585 7.540
Ce Nd Bi
3 1 4
Direct
0.000 0.000 0.500
0.500 0.500 0.500
0.000 0.500 0.000
0.500 0.000 0.000
0.000 0.251 0.251
0.500 0.749 0.251
0.000 0.749 0.749
0.500 0.251 0.749
```

Summary:
The calculation puts the relative energy among the computed polymorphs at 0 meV/atom. As for the space group: Cmmm. As for the density of states at the Fermi level: 21.20 states/eV/cell.


Entry from Alexandria: an optimized crystal structure of Ce4NdBi6 (GGA-PBE).

```
Ce4NdBi6
1.0
-7.364 3.924 -3.473
-1.652 -7.213 -5.189
-4.820 -3.518 6.787
Ce Nd Bi
8 2 12
Direct
0.359 0.141 0.250
0.859 0.250 0.359
0.250 0.641 0.141
0.250 0.250 0.750
0.750 0.750 0.250
0.750 0.359 0.859
0.141 0.750 0.641
0.641 0.859 0.750
0.500 0.500 0.500
0.000 0.000 0.000
0.668 0.066 0.080
0.080 0.332 0.066
0.580 0.434 0.168
0.934 0.080 0.668
0.566 0.168 0.580
0.168 0.420 0.434
0.832 0.580 0.566
0.434 0.832 0.420
0.066 0.920 0.332
0.420 0.566 0.832
0.920 0.668 0.934
0.332 0.934 0.920
```

Summary:
As for the uncorrected energy: -5.348 eV per atom. As for the space group: R-3c. As for the density of states at the Fermi level: 52.65 states/eV/cell.